[1]
HoFe3: relaxed, PBE.

Calculated values
formation energy from the elements	0.11	eV/atom
total magnetic moment	13.2	μB per cell
crystal system	hexagonal

a b c (Å): 5.8106 5.8106 4.2865
angles (deg): 90.00 90.00 120.00
With the nearest neighbours (Å) after each atom.
Fractional positions:
Ho 0.3333 0.6667 0.2500  12 Fe 2.91-2.92
Ho 0.6667 0.3333 0.7500  12 Fe 2.91-2.92
Fe 0.1374 0.2749 0.7500  6 Fe 2.40-2.55
Fe 0.1374 0.8626 0.7500  6 Fe 2.40-2.55
Fe 0.2749 0.1374 0.2500  6 Fe 2.40-2.55
Fe 0.7251 0.8626 0.7500  6 Fe 2.40-2.55
Fe 0.8626 0.1374 0.2500  6 Fe 2.40-2.55
Fe 0.8626 0.7251 0.2500  6 Fe 2.40-2.55

---

[2]
Sm2YCo2C2N3: relaxed, PBE.

Calculated values
total magnetic moment	0.0	μB per cell
total energy	-82.066	eV per cell
crystal system	tetragonal

a b c (Å): 10.0819 10.0819 10.0819
angles (deg): 159.96 159.96 28.48
With the nearest neighbours (Å) after each atom.
Fractional positions:
Sm 0.1276 0.1276 0.0000  5 N 2.48-2.49
Sm 0.8724 0.8724 0.0000  5 N 2.48-2.49
Y 0.5000 0.5000 0.0000  6 N 2.36-2.48
Co 0.2500 0.7500 0.5000  4 C 2.07
Co 0.7500 0.2500 0.5000  4 C 2.07
C 0.3062 0.3062 0.0000  1 N 1.43
C 0.6938 0.6938 0.0000  1 N 1.43
N 0.0000 0.0000 0.0000  4 Y 2.48, 2 Sm 2.49
N 0.3791 0.3791 0.0000  1 C 1.43
N 0.6209 0.6209 0.0000  1 C 1.43

---

[3]
Nb5Ge3C: relaxed, PBE.

Calculated values
total magnetic moment	0.0	μB per cell
total energy	-156.663	eV per cell
crystal system	hexagonal

a b c (Å): 7.6636 7.6636 5.5236
angles (deg): 90.00 90.00 120.00
With the nearest neighbours (Å) after each atom.
Fractional positions:
Nb 0.0000 0.2295 0.2500  2 C 2.24
Nb 0.0000 0.7705 0.7500  2 C 2.24
Nb 0.2295 0.0000 0.2500  2 C 2.24
Nb 0.2295 0.2295 0.7500  2 C 2.24
Nb 0.3333 0.6667 0.0000  6 Ge 2.71, 2 Nb 2.76
Nb 0.3333 0.6667 0.5000  6 Ge 2.71, 2 Nb 2.76
Nb 0.6667 0.3333 0.0000  6 Ge 2.71, 2 Nb 2.76
Nb 0.6667 0.3333 0.5000  6 Ge 2.71, 2 Nb 2.76
Nb 0.7705 0.0000 0.7500  2 C 2.24
Nb 0.7705 0.7705 0.2500  2 C 2.24
Ge 0.0000 0.4051 0.7500  7 Nb 2.70-2.80
Ge 0.0000 0.5949 0.2500  7 Nb 2.70-2.80
Ge 0.4051 0.0000 0.7500  7 Nb 2.70-2.80
Ge 0.4051 0.4051 0.2500  7 Nb 2.70-2.80
Ge 0.5949 0.0000 0.2500  7 Nb 2.70-2.80
Ge 0.5949 0.5949 0.7500  7 Nb 2.70-2.80
C 0.0000 0.0000 0.0000  6 Nb 2.24
C 0.0000 0.0000 0.5000  6 Nb 2.24